The following is a meta-GGA SCAN calculation of SbPCl8 at its PBEsol-relaxed geometry, from the Alexandria database.

Results
total magnetic moment: 0.00 μB per atom
calculated volume: 1277.43 Å³ per cell
space group: P4_1, No. 76
E: -11.847 eV per atom
crystal system: tetragonal
formation energy (no corrections): -0.70 eV per atom

Unit cell a=7.229 b=7.229 c=24.443 alpha=90.00 beta=90.00 gamma=90.00
Fractional positions:
Sb 0.043 0.777 0.000
Sb 0.223 0.043 0.250
Sb 0.777 0.957 0.750
Sb 0.957 0.223 0.500
P 0.153 0.271 0.895
P 0.271 0.847 0.645
P 0.729 0.153 0.145
P 0.847 0.729 0.395
Cl 0.035 0.577 0.444
Cl 0.055 0.910 0.795
Cl 0.090 0.055 0.045
Cl 0.114 0.829 0.185
Cl 0.171 0.114 0.435
Cl 0.176 0.442 0.829
Cl 0.193 0.280 0.185
Cl 0.208 0.336 0.552
Cl 0.241 0.592 0.053
Cl 0.280 0.807 0.935
Cl 0.321 0.604 0.684
Cl 0.336 0.792 0.302
Cl 0.396 0.321 0.934
Cl 0.408 0.241 0.303
Cl 0.423 0.035 0.694
Cl 0.442 0.824 0.579
Cl 0.558 0.176 0.079
Cl 0.577 0.965 0.194
Cl 0.592 0.759 0.803
Cl 0.604 0.679 0.434
Cl 0.664 0.208 0.802
Cl 0.679 0.396 0.184
Cl 0.720 0.193 0.435
Cl 0.759 0.408 0.553
Cl 0.792 0.664 0.052
Cl 0.807 0.720 0.685
Cl 0.824 0.558 0.329
Cl 0.829 0.886 0.935
Cl 0.886 0.171 0.685
Cl 0.910 0.945 0.545
Cl 0.945 0.090 0.295
Cl 0.965 0.423 0.944


The following is a meta-GGA SCAN calculation of Sb3PCl at its PBEsol-relaxed geometry, from the Alexandria database.

Results
total magnetic moment: 0.00 μB per atom
calculated volume: 139.31 Å³ per cell
space group: Pm-3m, No. 221
E: -25.491 eV per atom
crystal system: cubic
formation energy (no corrections): 0.54 eV per atom

Unit cell a=5.184 b=5.184 c=5.184 alpha=90.00 beta=90.00 gamma=90.00
Fractional positions:
Sb 0.000 0.000 0.500
Sb 0.000 0.500 0.000
Sb 0.500 0.000 0.000
P 0.000 0.000 0.000
Cl 0.500 0.500 0.500


The following is a meta-GGA SCAN calculation of ZnSbP2Cl at its PBEsol-relaxed geometry, from the Alexandria database.

Results
total magnetic moment: 0.00 μB per atom
calculated volume: 100.21 Å³ per cell
space group: P4/mmm, No. 123
excess energy over the best structure of this formula in the dataset: 0 meV/atom
E: -15.392 eV per atom
crystal system: tetragonal
formation energy (no corrections): 0.52 eV per atom

Unit cell a=4.677 b=4.677 c=4.581 alpha=90.00 beta=90.00 gamma=90.00
Fractional positions:
Zn 0.000 0.000 0.000
Sb 0.500 0.500 0.500
P 0.000 0.500 0.000
P 0.500 0.000 0.000
Cl 0.000 0.000 0.500


The following is a meta-GGA SCAN calculation of ScPCl2 at its PBEsol-relaxed geometry, from the Alexandria database.

Results
total magnetic moment: 0.15 μB per atom
calculated volume: 85.07 Å³ per cell
space group: R-3m, No. 166
excess energy over the best structure of this formula in the dataset: 393 meV/atom
E: -11.004 eV per atom
crystal system: trigonal
formation energy (no corrections): -0.86 eV per atom

Unit cell a=9.521 b=9.521 c=9.521 alpha=19.62 beta=19.62 gamma=19.62
Fractional positions:
Sc 0.000 0.000 0.000
P 0.500 0.500 0.500
Cl 0.275 0.275 0.275
Cl 0.725 0.725 0.725


The following is a meta-GGA SCAN calculation of ScPCl2 at its PBEsol-relaxed geometry, from the Alexandria database.

Results
total magnetic moment: 0.00 μB per atom
calculated volume: 68.84 Å³ per cell
space group: Fm-3m, No. 225
excess energy over the best structure of this formula in the dataset: 817 meV/atom
E: -10.580 eV per atom
crystal system: cubic
formation energy (no corrections): -0.43 eV per atom

Unit cell a=4.600 b=4.600 c=4.600 alpha=60.00 beta=60.00 gamma=60.00
Fractional positions:
Sc 0.000 0.000 0.000
P 0.500 0.500 0.500
Cl 0.250 0.250 0.250
Cl 0.750 0.750 0.750


The following is a meta-GGA SCAN calculation of Sc4PCl6 at its PBEsol-relaxed geometry, from the Alexandria database.

Results
total magnetic moment: 0.00 μB per atom
calculated volume: 531.83 Å³ per cell
space group: Pbam, No. 55
E: -12.611 eV per atom
crystal system: orthorhombic
formation energy (no corrections): -2.14 eV per atom

Unit cell a=11.834 b=12.413 c=3.621 alpha=90.00 beta=90.00 gamma=90.00
Fractional positions:
Sc 0.115 0.085 0.000
Sc 0.126 0.844 0.500
Sc 0.374 0.344 0.500
Sc 0.385 0.585 0.000
Sc 0.615 0.415 0.000
Sc 0.626 0.656 0.500
Sc 0.874 0.156 0.500
Sc 0.885 0.915 0.000
P 0.000 0.000 0.500
P 0.500 0.500 0.500
Cl 0.014 0.744 0.000
Cl 0.243 0.174 0.500
Cl 0.244 0.421 0.000
Cl 0.256 0.921 0.000
Cl 0.257 0.674 0.500
Cl 0.486 0.244 0.000
Cl 0.514 0.756 0.000
Cl 0.743 0.326 0.500
Cl 0.744 0.079 0.000
Cl 0.756 0.579 0.000
Cl 0.757 0.826 0.500
Cl 0.986 0.256 0.000


The following is a meta-GGA SCAN calculation of ScPCl2 at its PBEsol-relaxed geometry, from the Alexandria database.

Results
total magnetic moment: 0.00 μB per atom
calculated volume: 71.82 Å³ per cell
space group: Cmmm, No. 65
excess energy over the best structure of this formula in the dataset: 930 meV/atom
E: -10.467 eV per atom
crystal system: orthorhombic
formation energy (no corrections): -0.32 eV per atom

Unit cell a=4.895 b=4.895 c=3.124 alpha=90.00 beta=90.00 gamma=106.35
Fractional positions:
Sc 0.000 0.000 0.000
P 0.500 0.500 0.000
Cl 0.000 0.500 0.500
Cl 0.500 0.000 0.500


The following is a meta-GGA SCAN calculation of ScPCl2 at its PBEsol-relaxed geometry, from the Alexandria database.

Results
total magnetic moment: 0.00 μB per atom
calculated volume: 70.37 Å³ per cell
space group: I-4m2, No. 119
excess energy over the best structure of this formula in the dataset: 663 meV/atom
E: -10.734 eV per atom
crystal system: tetragonal
formation energy (no corrections): -0.59 eV per atom

Unit cell a=5.414 b=5.414 c=5.414 alpha=137.96 beta=137.96 gamma=60.96
Fractional positions:
Sc 0.000 0.000 0.000
P 0.250 0.750 0.500
Cl 0.500 0.500 0.000
Cl 0.750 0.250 0.500


Question: Which value of calculated volume does entry 4 give?
Answer: 85.07 Å³ per cell


Question: Among the records above, which one has the lowest E?
Answer: Sb3PCl


Copy entry 6 word for word.
The following is a meta-GGA SCAN calculation of Sc4PCl6 at its PBEsol-relaxed geometry, from the Alexandria database.

Results
total magnetic moment: 0.00 μB per atom
calculated volume: 531.83 Å³ per cell
space group: Pbam, No. 55
E: -12.611 eV per atom
crystal system: orthorhombic
formation energy (no corrections): -2.14 eV per atom

Unit cell a=11.834 b=12.413 c=3.621 alpha=90.00 beta=90.00 gamma=90.00
Fractional positions:
Sc 0.115 0.085 0.000
Sc 0.126 0.844 0.500
Sc 0.374 0.344 0.500
Sc 0.385 0.585 0.000
Sc 0.615 0.415 0.000
Sc 0.626 0.656 0.500
Sc 0.874 0.156 0.500
Sc 0.885 0.915 0.000
P 0.000 0.000 0.500
P 0.500 0.500 0.500
Cl 0.014 0.744 0.000
Cl 0.243 0.174 0.500
Cl 0.244 0.421 0.000
Cl 0.256 0.921 0.000
Cl 0.257 0.674 0.500
Cl 0.486 0.244 0.000
Cl 0.514 0.756 0.000
Cl 0.743 0.326 0.500
Cl 0.744 0.079 0.000
Cl 0.756 0.579 0.000
Cl 0.757 0.826 0.500
Cl 0.986 0.256 0.000